1.
VASP calculation (PBE-GGA) on a relaxed structure of AsN.

Unit cell a=7.745 b=7.745 c=2.848 alpha=90.00 beta=90.00 gamma=90.00
Space group P4_2/mnm (No. 136)
Inequivalent atoms, fractional coordinates:
As: 0.160 0.160 0.000 (multiplicity 4)
N: 0.235 0.765 0.000 (multiplicity 4)

Computed properties:
Relative energy among the computed polymorphs, meV/atom: 741
VASP energy, eV/atom: -5.74
Magnetic moment, Bohr magnetons per cell: 0.00
Formation energy (no corrections), eV per atom: 0.7497

2.
VASP calculation (PBE-GGA) on a relaxed structure of Ti4AlCu.

Unit cell a=4.233 b=4.233 c=6.208 alpha=90.00 beta=90.00 gamma=90.00
Space group P4/mmm (No. 123)
Inequivalent atoms, fractional coordinates:
Ti: 0.000 0.500 0.239 (multiplicity 4)
Al: 0.000 0.000 0.500 (multiplicity 1)
Cu: 0.500 0.500 0.000 (multiplicity 1)

Computed properties:
Relative energy among the computed polymorphs, meV/atom: 519
VASP energy, eV/atom: -6.23
Magnetic moment, Bohr magnetons per cell: 0.01

Among the records above, which one has the highest VASP energy?
AsN